HgTe2Pt | PBE | optimized geometry

Summary:
- Energy relative to the elements, uncorrected: -0.276 eV/atom
- SG: P-3m1, No. 164

Lattice parameters (Å, degrees): 4.024 4.024 8.852 90.00 90.00 120.00
Fractional coordinates of all 4 atoms:
1 Hg 0.000 0.000 0.000
2 Te 0.333 0.667 0.342
3 Te 0.667 0.333 0.658
4 Pt 0.000 0.000 0.500



HfAl2Au2 | PBE | optimized geometry

Summary:
- Offset from the most stable computed form: 60 meV/atom
- SG: P4/mbm, No. 127

Lattice parameters (Å, degrees): 7.504 7.504 3.199 90.00 90.00 90.00
Fractional coordinates of all 10 atoms:
1 Hf 0.000 0.000 0.000
2 Hf 0.500 0.500 0.000
3 Al 0.171 0.329 0.500
4 Al 0.329 0.829 0.500
5 Al 0.671 0.171 0.500
6 Al 0.829 0.671 0.500
7 Au 0.131 0.631 0.000
8 Au 0.369 0.131 0.000
9 Au 0.631 0.869 0.000
10 Au 0.869 0.369 0.000



Cs2TaVBr6 | PBE | optimized geometry

Summary:
- Energy relative to the elements, uncorrected: -0.902 eV/atom
- SG: Fm-3m, No. 225

Lattice parameters (Å, degrees): 7.698 7.698 7.698 60.00 60.00 60.00
Fractional coordinates of all 10 atoms:
1 Cs 0.250 0.250 0.250
2 Cs 0.750 0.750 0.750
3 Ta 0.000 0.000 0.000
4 V 0.500 0.500 0.500
5 Br 0.248 0.248 0.752
6 Br 0.248 0.752 0.248
7 Br 0.248 0.752 0.752
8 Br 0.752 0.248 0.248
9 Br 0.752 0.248 0.752
10 Br 0.752 0.752 0.248



ScCoRhCl2 | PBE | optimized geometry

Summary:
- Energy relative to the elements, uncorrected: 0.016 eV/atom
- SG: P4/mmm, No. 123

Lattice parameters (Å, degrees): 4.379 4.379 4.860 90.00 90.00 90.00
Fractional coordinates of all 5 atoms:
1 Sc 0.000 0.000 0.000
2 Co 0.500 0.500 0.500
3 Rh 0.500 0.500 0.000
4 Cl 0.000 0.500 0.500
5 Cl 0.500 0.000 0.500



Ac5La4Er2 | PBE | optimized geometry

Summary:
- SG: P2/m, No. 10
- Electronic total energy: -47.6 eV/cell

Lattice parameters (Å, degrees): 9.525 3.696 12.567 90.00 91.65 90.00
Fractional coordinates of all 11 atoms:
1 Ac 0.000 0.000 0.000
2 Ac 0.195 0.000 0.531
3 Ac 0.295 0.000 0.826
4 Ac 0.705 0.000 0.174
5 Ac 0.805 0.000 0.469
6 La 0.075 0.500 0.269
7 La 0.462 0.500 0.354
8 La 0.538 0.500 0.646
9 La 0.925 0.500 0.731
10 Er 0.343 0.000 0.119
11 Er 0.657 0.000 0.881



HoInAgSn | PBE | optimized geometry

Summary:
- Offset from the most stable computed form: 0 meV/atom
- SG: Pmmm, No. 47

Lattice parameters (Å, degrees): 4.419 4.435 4.765 90.00 90.00 90.00
Fractional coordinates of all 4 atoms:
1 Ho 0.000 0.000 0.000
2 In 0.000 0.500 0.500
3 Ag 0.500 0.000 0.500
4 Sn 0.500 0.500 0.000



Y4Er2Pu | PBE | optimized geometry

Summary:
- SG: I4/mmm, No. 139
- Electronic total energy: -36.7 eV/cell

Lattice parameters (Å, degrees): 8.509 8.509 8.509 119.57 119.57 90.75
Fractional coordinates of all 7 atoms:
1 Y 0.000 0.316 0.316
2 Y 0.000 0.684 0.684
3 Y 0.316 0.000 0.316
4 Y 0.684 0.000 0.684
5 Er 0.250 0.750 0.500
6 Er 0.750 0.250 0.500
7 Pu 0.000 0.000 0.000



K2MoSe | PBE | optimized geometry

Summary:
- Offset from the most stable computed form: 116 meV/atom
- Energy relative to the elements, uncorrected: 0.348 eV/atom
- SG: P2/m, No. 10

Lattice parameters (Å, degrees): 4.947 4.893 8.603 90.00 106.52 90.00
Fractional coordinates of all 4 atoms:
1 K 0.134 0.000 0.258
2 K 0.866 0.000 0.742
3 Mo 0.500 0.500 0.000
4 Se 0.000 0.500 0.000